The following is a PBE-GGA calculation of Li2CaRu after structural relaxation, from Alexandria.

formation enthalpy at 0 K = 0.350 eV per atom
ΔE to the lowest computed polymorph = 90 meV per atom
DOS at the Fermi energy = 1.39 states/eV per atom

Cell: 4.6973 4.6973 4.6973 Å, 60.00 60.00 60.00°
Fractional coordinates of all 4 atoms:
Li: 0.0000 0.0000 0.0000
Li: 0.2500 0.2500 0.2500
Ca: 0.5000 0.5000 0.5000
Ru: 0.7500 0.7500 0.7500